DFT (GGA-PBE) results for crystalline AcNdZn2Pd5 at its relaxed geometry.

The structure in POSCAR format:
```
AcNdZn2Pd5
1.0
4.2927 0.0000 0.0000
0.0000 4.2927 0.0000
0.0000 0.0000 9.5536
Zn Pd Nd Ac
2 5 1 1
Direct
0.5000 0.5000 0.8710
0.5000 0.5000 0.1290
0.5000 0.0000 0.2685
0.0000 0.5000 0.7315
0.0000 0.5000 0.2685
0.5000 0.5000 0.5000
0.5000 0.0000 0.7315
0.0000 0.0000 0.0000
0.0000 0.0000 0.5000
```

Summary:
The calculation puts the density of states at the Fermi level at 0.447 states/eV per atom. Its mass density is 9.75 g/cm3. For the energy relative to the elements, the calculation gives -0.6423 eV/atom. Its total moment is 0.000 μB/cell.

DFT (GGA-PBE) results for crystalline AcPmNd3 at its relaxed geometry.

The structure in POSCAR format:
```
AcPmNd3
1.0
-1.3624 4.5766 -4.2415
-0.3542 -4.8517 -5.1213
-16.2346 -1.6799 2.7147
Nd Pm Ac
12 4 4
Direct
0.3450 0.4493 0.3691
0.6550 0.5507 0.6309
0.8179 0.3343 0.0482
0.1821 0.6657 0.9518
0.8366 0.3330 0.4472
0.6634 0.8330 0.0528
0.8450 0.0507 0.8690
0.3179 0.1657 0.5482
0.6821 0.8343 0.4518
0.3366 0.1670 0.9472
0.1550 0.9493 0.1310
0.1634 0.6670 0.5528
0.7957 0.6283 0.2540
0.2957 0.8717 0.7540
0.2043 0.3717 0.7460
0.7043 0.1283 0.2460
0.6997 0.5583 0.8463
0.3003 0.4417 0.1537
0.8003 0.0583 0.6537
0.1997 0.9417 0.3463
```

Summary:
The calculation puts the density of states at the Fermi level at 1.564 states/eV per atom. Its mass density is 7.16 g/cm3. For the energy relative to the elements, the calculation gives 0.0784 eV/atom. Its total moment is 0.000 μB/cell.

DFT (GGA-PBE) results for crystalline Ac3PmNd6 at its relaxed geometry.

The structure in POSCAR format:
```
Ac3PmNd6
1.0
-0.4240 2.7421 9.8742
8.3831 3.5984 4.6876
1.5796 6.1258 3.6936
Ac Nd Pm
3 6 1
Direct
0.6088 0.6088 0.1737
0.3502 0.3502 0.9495
0.0914 0.0914 0.7257
0.9251 0.5981 0.2205
0.4435 0.7749 0.6800
0.5981 0.2564 0.2205
0.1016 0.4435 0.6800
0.2564 0.9251 0.2205
0.7749 0.1016 0.6800
0.8502 0.8502 0.4495
```

Summary:
The calculation puts the density of states at the Fermi level at 2.423 states/eV per atom. Its mass density is 7.15 g/cm3. For the energy relative to the elements, the calculation gives 0.3436 eV/atom. Its total moment is 0.007 μB/cell.

DFT (GGA-PBE) results for crystalline Ac3Pm3Nd at its relaxed geometry.

The structure in POSCAR format:
```
Ac3Pm3Nd
1.0
9.0901 0.0000 4.3024
3.5269 8.3780 4.3024
1.6452 1.0925 8.2780
Ac Pm Nd
6 6 2
Direct
0.9583 0.6753 0.2526
0.8863 0.0417 0.7474
0.0417 0.3247 0.7474
0.3247 0.8863 0.7474
0.6753 0.1137 0.2526
0.1137 0.9583 0.2526
0.8178 0.3986 0.2504
0.3986 0.5332 0.2504
0.4668 0.1822 0.7496
0.1822 0.6014 0.7496
0.6014 0.4668 0.7496
0.5332 0.8178 0.2504
0.2557 0.2557 0.2328
0.7443 0.7443 0.7672
```

Summary:
The calculation puts the density of states at the Fermi level at 1.766 states/eV per atom. Its mass density is 7.68 g/cm3. For the energy relative to the elements, the calculation gives 0.0385 eV/atom. Its total moment is 0.000 μB/cell.

DFT (GGA-PBE) results for crystalline Ac2PmNd8 at its relaxed geometry.

The structure in POSCAR format:
```
Ac2PmNd8
1.0
5.7538 -0.4497 -0.3141
0.3804 10.3353 2.8316
0.3804 6.2155 8.7295
Ac Nd Pm
2 8 1
Direct
0.2566 0.7186 0.7186
0.7434 0.2814 0.2814
0.7637 0.4558 0.4558
0.7330 0.3884 0.8587
0.7330 0.8587 0.3884
0.2261 0.1766 0.1766
0.2670 0.1413 0.6116
0.2670 0.6116 0.1413
0.2363 0.5442 0.5442
0.7739 0.8234 0.8234
0.0000 0.0000 0.0000
```

Summary:
The calculation puts the energy above the most stable polymorph in this dataset at 0.26 eV per formula unit. The calculation puts the density of states at the Fermi level at 1.533 states/eV per atom. Its mass density is 6.94 g/cm3. For the energy relative to the elements, the calculation gives 0.1783 eV/atom. Its total moment is 0.000 μB/cell.

DFT (GGA-PBE) results for crystalline Ac4Pm5Nd2 at its relaxed geometry.

The structure in POSCAR format:
```
Ac4Pm5Nd2
1.0
5.2604 0.0000 -1.1415
-0.7691 7.5563 -3.5441
-0.2999 -1.3849 11.3097
Pm Nd Ac
5 2 4
Direct
0.1386 0.0860 0.2771
0.2263 0.8258 0.4527
0.7737 0.1742 0.5473
0.5000 0.0000 0.0000
0.8614 0.9140 0.7229
0.5922 0.7343 0.1843
0.4078 0.2657 0.8157
0.6822 0.4540 0.3644
0.3178 0.5460 0.6356
0.0443 0.3583 0.0886
0.9557 0.6417 0.9114
```

Summary:
The calculation puts the density of states at the Fermi level at 1.682 states/eV per atom. Its mass density is 7.60 g/cm3. For the energy relative to the elements, the calculation gives 0.0348 eV/atom. Its total moment is 0.000 μB/cell.

DFT (GGA-PBE) results for crystalline Ac2Pm3Nd7 at its relaxed geometry.

The structure in POSCAR format:
```
Ac2Pm3Nd7
1.0
-0.9432 -0.6934 3.4926
6.1203 1.4189 1.9345
-0.5430 18.4362 3.5134
Nd Pm Ac
7 3 2
Direct
0.5000 0.0646 0.1643
0.0000 0.5610 0.1608
0.0000 0.0000 0.0000
0.5000 0.2386 0.5011
0.0000 0.4390 0.8392
0.5000 0.7614 0.4989
0.5000 0.9354 0.8357
0.0000 0.1116 0.3387
0.0000 0.8884 0.6613
0.5000 0.5000 0.0000
0.5000 0.6131 0.3275
0.5000 0.3869 0.6725
```

Summary:
The calculation puts the energy above the most stable polymorph in this dataset at 0.00 eV per formula unit. The calculation puts the density of states at the Fermi level at 1.592 states/eV per atom. Its mass density is 7.14 g/cm3. For the energy relative to the elements, the calculation gives 0.0831 eV/atom. Its total moment is 0.000 μB/cell.

DFT (GGA-PBE) results for crystalline Ac2Pm5Nd4 at its relaxed geometry.

The structure in POSCAR format:
```
Ac2Pm5Nd4
1.0
-0.9668 -2.9746 -6.2679
4.3005 -5.7444 -1.8516
-6.3992 -6.9814 0.3859
Nd Pm Ac
4 5 2
Direct
0.7376 0.6505 0.8743
0.2690 0.9928 0.4693
0.2624 0.3495 0.1257
0.7310 0.0072 0.5307
0.2251 0.8542 0.1671
0.0000 0.5000 0.5000
0.2464 0.1458 0.8329
0.7536 0.8542 0.1671
0.7749 0.1458 0.8329
0.3248 0.6087 0.7418
0.6752 0.3913 0.2582
```

Summary:
The calculation puts the energy above the most stable polymorph in this dataset at 0.10 eV per formula unit. The calculation puts the density of states at the Fermi level at 1.286 states/eV per atom. Its mass density is 7.24 g/cm3. For the energy relative to the elements, the calculation gives 0.1358 eV/atom. Its total moment is 0.000 μB/cell.

DFT (GGA-PBE) results for crystalline Ac3Pm12Nd at its relaxed geometry.

The structure in POSCAR format:
```
Ac3Pm12Nd
1.0
5.2512 0.0000 0.0000
0.0000 5.2512 0.0000
0.0000 0.0000 20.9758
Pm Ac Nd
12 3 1
Direct
0.5000 0.0000 0.8788
0.5000 0.0000 0.3739
0.0000 0.5000 0.1212
0.5000 0.5000 0.7526
0.5000 0.0000 0.1212
0.5000 0.0000 0.6261
0.0000 0.5000 0.3739
0.0000 0.5000 0.6261
0.5000 0.5000 0.2474
0.5000 0.5000 0.5000
0.0000 0.5000 0.8788
0.5000 0.5000 0.0000
0.0000 0.0000 0.7519
0.0000 0.0000 0.5000
0.0000 0.0000 0.2481
0.0000 0.0000 0.0000
```

Summary:
The calculation puts the density of states at the Fermi level at 1.605 states/eV per atom. Its mass density is 7.36 g/cm3. For the energy relative to the elements, the calculation gives 0.0259 eV/atom. Its total moment is 0.000 μB/cell.

DFT (GGA-PBE) results for crystalline Ac4PmNd7 at its relaxed geometry.

The structure in POSCAR format:
```
Ac4PmNd7
1.0
3.7996 0.0000 0.0000
-1.8998 3.2905 0.0000
0.0000 0.0000 36.8352
Pm Nd Ac
1 7 4
Direct
0.0000 0.0000 0.5000
0.0000 0.0000 0.2498
0.0000 0.0000 0.0000
0.3333 0.6667 0.1696
0.3333 0.6667 0.4200
0.0000 0.0000 0.7502
0.6667 0.3333 0.8304
0.6667 0.3333 0.5800
0.6667 0.3333 0.3349
0.3333 0.6667 0.9154
0.3333 0.6667 0.6651
0.6667 0.3333 0.0846
```

Summary:
The calculation puts the density of states at the Fermi level at 1.643 states/eV per atom. Its mass density is 7.44 g/cm3. For the energy relative to the elements, the calculation gives 0.0348 eV/atom. Its total moment is 0.000 μB/cell.

DFT (GGA-PBE) results for crystalline Ac4Pm2Nd at its relaxed geometry.

The structure in POSCAR format:
```
Ac4Pm2Nd
1.0
-1.7508 -4.4507 -3.9588
1.9181 -5.8430 0.8523
-6.8412 -4.9941 3.7717
Ac Nd Pm
4 1 2
Direct
0.5767 0.5767 0.2698
0.7272 0.7272 0.8183
0.4233 0.4233 0.7302
0.2728 0.2728 0.1817
0.0000 0.0000 0.0000
0.8637 0.8637 0.4089
0.1363 0.1363 0.5911
```

Summary:
The calculation puts the energy above the most stable polymorph in this dataset at 0.00 eV per formula unit. The calculation puts the density of states at the Fermi level at 2.255 states/eV per atom. Its mass density is 7.81 g/cm3. For the energy relative to the elements, the calculation gives 0.1593 eV/atom. Its total moment is 0.002 μB/cell.

DFT (GGA-PBE) results for crystalline Ac6Pm3Nd2 at its relaxed geometry.

The structure in POSCAR format:
```
Ac6Pm3Nd2
1.0
6.4152 0.0000 1.8938
3.2076 5.7805 0.9469
-1.3199 0.0000 12.1258
Ac Nd Pm
6 2 3
Direct
0.9172 0.6673 0.2527
0.2526 0.0000 0.2553
0.5845 0.3327 0.2527
0.0828 0.3327 0.7473
0.7474 0.0000 0.7447
0.4155 0.6673 0.7473
0.8316 0.3367 0.5000
0.1684 0.6633 0.5000
0.3341 0.3318 0.0000
0.0000 0.0000 0.0000
0.6659 0.6682 0.0000
```

Summary:
The calculation puts the density of states at the Fermi level at 1.545 states/eV per atom. Its mass density is 7.46 g/cm3. For the energy relative to the elements, the calculation gives 0.1774 eV/atom. Its total moment is 0.000 μB/cell.

DFT (GGA-PBE) results for crystalline Ac2Pm3Nd7 at its relaxed geometry.

The structure in POSCAR format:
```
Ac2Pm3Nd7
1.0
3.7211 0.0000 0.0000
0.0000 6.0338 0.2726
0.0000 -2.0483 19.7413
Nd Pm Ac
7 3 2
Direct
0.5000 0.2574 0.5341
0.0000 0.3228 0.8605
0.5000 0.7426 0.4659
0.5000 0.1796 0.1706
0.0000 0.6772 0.1395
0.0000 0.0000 0.0000
0.5000 0.8204 0.8294
0.5000 0.5000 0.0000
0.0000 0.2168 0.3723
0.0000 0.7832 0.6277
0.5000 0.2968 0.7058
0.5000 0.7032 0.2942
```

Summary:
The calculation puts the energy above the most stable polymorph in this dataset at 0.17 eV per formula unit. The calculation puts the density of states at the Fermi level at 1.253 states/eV per atom. Its mass density is 7.08 g/cm3. For the energy relative to the elements, the calculation gives 0.0971 eV/atom. Its total moment is 0.000 μB/cell.

DFT (GGA-PBE) results for crystalline Ac2PmNd6 at its relaxed geometry.

The structure in POSCAR format:
```
Ac2PmNd6
1.0
-0.1352 -1.5521 -3.4174
2.1614 -1.5204 2.6688
-21.1994 -15.9496 8.0827
Nd Ac Pm
6 2 1
Direct
0.3333 0.6667 0.2127
0.3333 0.6667 0.4384
0.3333 0.6667 0.7873
0.6667 0.3333 0.8933
0.3333 0.6667 0.5616
0.6667 0.3333 0.1067
0.6667 0.3333 0.6715
0.6667 0.3333 0.3285
0.3333 0.6667 0.0000
```

Summary:
The calculation puts the density of states at the Fermi level at 1.747 states/eV per atom. Its mass density is 7.18 g/cm3. For the energy relative to the elements, the calculation gives 0.0797 eV/atom. Its total moment is 0.001 μB/cell.

DFT (GGA-PBE) results for crystalline AcPmNd6 at its relaxed geometry.

The structure in POSCAR format:
```
AcPmNd6
1.0
-2.0824 -2.0321 -4.3673
-0.1137 -4.7359 2.2578
-9.6463 1.9843 3.6763
Nd Pm Ac
6 1 1
Direct
0.5000 0.0000 0.2563
0.0000 0.5000 0.7437
0.5000 0.0000 0.7437
0.5000 0.5000 0.5000
0.5000 0.5000 0.0000
0.0000 0.5000 0.2563
0.0000 0.0000 0.5000
0.0000 0.0000 0.0000
```

Summary:
The calculation puts the density of states at the Fermi level at 1.674 states/eV per atom. Its mass density is 7.10 g/cm3. For the energy relative to the elements, the calculation gives 0.0205 eV/atom. Its total moment is 0.000 μB/cell.

DFT (GGA-PBE) results for crystalline AcPm8Nd6 at its relaxed geometry.

The structure in POSCAR format:
```
AcPm8Nd6
1.0
8.1797 0.3424 2.2406
1.7968 7.9872 2.2406
0.4101 0.3424 8.4711
Nd Pm Ac
6 8 1
Direct
0.4272 0.1687 0.6198
0.5728 0.8313 0.3802
0.6198 0.4272 0.1687
0.8313 0.3802 0.5728
0.3802 0.5728 0.8313
0.1687 0.6198 0.4272
0.2314 0.2314 0.2314
0.0573 0.3881 0.8575
0.3881 0.8575 0.0573
0.9427 0.6119 0.1425
0.8575 0.0573 0.3881
0.6119 0.1425 0.9427
0.1425 0.9427 0.6119
0.7686 0.7686 0.7686
0.0000 0.0000 0.0000
```

Summary:
The calculation puts the energy above the most stable polymorph in this dataset at 0.41 eV per formula unit. The calculation puts the density of states at the Fermi level at 1.371 states/eV per atom. Its mass density is 6.97 g/cm3. For the energy relative to the elements, the calculation gives 0.1732 eV/atom. Its total moment is 0.000 μB/cell.

DFT (GGA-PBE) results for crystalline Ac4Pm4Nd3 at its relaxed geometry.

The structure in POSCAR format:
```
Ac4Pm4Nd3
1.0
3.7975 -0.0029 -0.3220
-0.0518 5.2350 -0.6578
-0.1095 -0.0192 21.1711
Ac Pm Nd
4 4 3
Direct
0.1814 0.1825 0.3650
0.8185 0.8175 0.6350
0.4536 0.4544 0.9069
0.5464 0.5457 0.0931
0.7284 0.7284 0.4570
0.0933 0.0912 0.1854
0.2715 0.2716 0.5430
0.9067 0.9088 0.8146
0.0000 0.0000 0.0000
0.3638 0.3647 0.7284
0.6361 0.6353 0.2716
```

Summary:
The calculation puts the density of states at the Fermi level at 1.564 states/eV per atom. Its mass density is 7.58 g/cm3. For the energy relative to the elements, the calculation gives 0.0241 eV/atom. Its total moment is 0.000 μB/cell.

DFT (GGA-PBE) results for crystalline Ac2Pm6Nd3 at its relaxed geometry.

The structure in POSCAR format:
```
Ac2Pm6Nd3
1.0
-2.5187 2.2751 1.5529
-3.4762 0.1365 -1.3525
-11.0608 -23.4556 20.9103
Pm Nd Ac
6 3 2
Direct
0.3631 0.3631 0.9107
0.6369 0.6369 0.0893
0.8186 0.8186 0.5441
0.9107 0.9107 0.2678
0.0893 0.0893 0.7322
0.1814 0.1814 0.4559
0.0000 0.0000 0.0000
0.2738 0.2738 0.1787
0.7262 0.7262 0.8213
0.5461 0.5461 0.3618
0.4539 0.4539 0.6382
```

Summary:
The calculation puts the density of states at the Fermi level at 1.411 states/eV per atom. Its mass density is 7.27 g/cm3. For the energy relative to the elements, the calculation gives 0.0297 eV/atom. Its total moment is 0.000 μB/cell.

DFT (GGA-PBE) results for crystalline AcPm3Nd6 at its relaxed geometry.

The structure in POSCAR format:
```
AcPm3Nd6
1.0
3.6656 0.0000 0.0000
0.0000 12.0812 -2.7603
0.0000 -0.3756 16.4197
Pm Nd Ac
6 12 2
Direct
0.7500 0.6122 0.6708
0.7500 0.8838 0.4284
0.2500 0.3878 0.3292
0.7500 0.8994 0.2170
0.2500 0.1162 0.5716
0.2500 0.1006 0.7830
0.2500 0.6154 0.8553
0.2500 0.8383 0.6131
0.7500 0.3432 0.7257
0.2500 0.3884 0.5395
0.7500 0.6116 0.4605
0.2500 0.6568 0.2743
0.7500 0.1186 0.9790
0.7500 0.1617 0.3869
0.7500 0.8596 0.8199
0.7500 0.3846 0.1447
0.2500 0.8814 0.0210
0.2500 0.1404 0.1801
0.7500 0.6338 0.0618
0.2500 0.3662 0.9382
```

Summary:
The calculation puts the energy above the most stable polymorph in this dataset at 0.00 eV per formula unit. The calculation puts the density of states at the Fermi level at 1.464 states/eV per atom. Its mass density is 7.01 g/cm3. For the energy relative to the elements, the calculation gives 0.0621 eV/atom. Its total moment is 0.000 μB/cell.

DFT (GGA-PBE) results for crystalline AcPm3Nd3 at its relaxed geometry.

The structure in POSCAR format:
```
AcPm3Nd3
1.0
-4.0989 -4.9471 5.2568
3.5165 0.8378 7.4727
-4.9835 4.8063 4.5796
Nd Pm Ac
6 6 2
Direct
0.6810 0.1093 0.9626
0.9626 0.6810 0.1093
0.8907 0.0374 0.3190
0.1093 0.9626 0.6810
0.0374 0.3190 0.8907
0.3190 0.8907 0.0374
0.4640 0.1817 0.6085
0.5360 0.8183 0.3915
0.1817 0.6085 0.4640
0.3915 0.5360 0.8183
0.8183 0.3915 0.5360
0.6085 0.4640 0.1817
0.2506 0.2506 0.2506
0.7494 0.7494 0.7494
```

Summary:
The calculation puts the energy above the most stable polymorph in this dataset at 0.00 eV per formula unit. The calculation puts the density of states at the Fermi level at 1.594 states/eV per atom. Its mass density is 7.18 g/cm3. For the energy relative to the elements, the calculation gives 0.0231 eV/atom. Its total moment is 0.000 μB/cell.